#A
The following is a PBE calculation of a relaxed InGe2Pd7 crystal, from Alexandria via LeMat-Bulk.

Unit cell a=10.4230 b=10.4230 c=10.4230 alpha=157.44 beta=157.44 gamma=32.11
Sites, in units of the cell vectors:
In 0.0000 0.0000 0.0000
Ge 0.3265 0.3265 0.0000
Ge 0.6735 0.6735 0.0000
Pd 0.1014 0.6014 0.5000
Pd 0.2500 0.7500 0.5000
Pd 0.3986 0.8986 0.5000
Pd 0.5000 0.5000 0.0000
Pd 0.6014 0.1014 0.5000
Pd 0.7500 0.2500 0.5000
Pd 0.8986 0.3986 0.5000

#B
The following is a PBE calculation of a relaxed InGe2Pd7 crystal, from Alexandria via LeMat-Bulk.

Unit cell a=7.0666 b=7.0666 c=4.4329 alpha=90.00 beta=90.00 gamma=117.37
Sites, in units of the cell vectors:
In 0.0000 0.0000 0.0000
Ge 0.3012 0.6988 0.5000
Ge 0.6988 0.3012 0.5000
Pd 0.0673 0.3080 0.5000
Pd 0.2232 0.7768 0.0000
Pd 0.3080 0.0673 0.5000
Pd 0.5000 0.5000 0.5000
Pd 0.6920 0.9327 0.5000
Pd 0.7768 0.2232 0.0000
Pd 0.9327 0.6920 0.5000

Decreasing stability: #A, #B

#A
The following is a PBE calculation of a relaxed InGePd3 crystal, from Alexandria via LeMat-Bulk.

Unit cell a=4.6496 b=4.6496 c=4.6496 alpha=90.00 beta=90.00 gamma=90.00
Sites, in units of the cell vectors:
In 0.0000 0.0000 0.0000
Ge 0.5000 0.5000 0.5000
Pd 0.0000 0.5000 0.5000
Pd 0.5000 0.0000 0.5000
Pd 0.5000 0.5000 0.0000

#B
The following is a PBE calculation of a relaxed InGePd3 crystal, from Alexandria via LeMat-Bulk.

Unit cell a=4.9298 b=4.9298 c=4.9298 alpha=90.00 beta=90.00 gamma=90.00
Sites, in units of the cell vectors:
In 0.0000 0.0000 0.0000
Ge 0.5000 0.5000 0.5000
Pd 0.0000 0.0000 0.5000
Pd 0.0000 0.5000 0.0000
Pd 0.5000 0.0000 0.0000

#C
The following is a PBE calculation of a relaxed InGePd3 crystal, from Alexandria via LeMat-Bulk.

Unit cell a=5.5187 b=5.5502 c=7.1771 alpha=71.55 beta=71.13 gamma=61.45
Sites, in units of the cell vectors:
In 0.0000 0.0000 0.0000
In 0.2069 0.2074 0.4260
Ge 0.5358 0.5292 0.3612
Ge 0.7313 0.7294 0.7739
Pd 0.2241 0.7125 0.6757
Pd 0.4709 0.9668 0.0822
Pd 0.4735 0.4730 0.0448
Pd 0.7068 0.2200 0.6780
Pd 0.7861 0.7799 0.4174
Pd 0.9715 0.4691 0.0776

#D
The following is a PBE calculation of a relaxed InGePd3 crystal, from Alexandria via LeMat-Bulk.

Unit cell a=4.2996 b=7.6793 c=5.5868 alpha=90.00 beta=90.00 gamma=90.00
Sites, in units of the cell vectors:
In 0.0000 0.1722 0.0000
In 0.0000 0.8278 0.5000
Ge 0.5000 0.3333 0.6251
Ge 0.5000 0.6667 0.1251
Pd 0.0000 0.1957 0.4897
Pd 0.0000 0.8043 0.9897
Pd 0.5000 0.0187 0.7579
Pd 0.5000 0.3530 0.1778
Pd 0.5000 0.6470 0.6778
Pd 0.5000 0.9813 0.2579

Decreasing stability: #C, #D, #A, #B

#A
The following is a PBE calculation of a relaxed In2Ge2Pd crystal, from Alexandria via LeMat-Bulk.

Unit cell a=6.5724 b=6.5724 c=4.9758 alpha=90.00 beta=90.00 gamma=90.00
Sites, in units of the cell vectors:
In 0.1766 0.3234 0.0000
In 0.3234 0.8234 0.0000
In 0.6766 0.1766 0.0000
In 0.8234 0.6766 0.0000
Ge 0.1405 0.6405 0.5000
Ge 0.3595 0.1405 0.5000
Ge 0.6405 0.8595 0.5000
Ge 0.8595 0.3595 0.5000
Pd 0.0000 0.0000 0.5000
Pd 0.5000 0.5000 0.5000

#B
The following is a PBE calculation of a relaxed In2Ge2Pd crystal, from Alexandria via LeMat-Bulk.

Unit cell a=7.2463 b=7.2463 c=4.2674 alpha=90.00 beta=90.00 gamma=90.00
Sites, in units of the cell vectors:
In 0.1662 0.3338 0.0000
In 0.3338 0.8338 0.0000
In 0.6662 0.1662 0.0000
In 0.8338 0.6662 0.0000
Ge 0.1337 0.6337 0.5000
Ge 0.3663 0.1337 0.5000
Ge 0.6337 0.8663 0.5000
Ge 0.8663 0.3663 0.5000
Pd 0.0000 0.0000 0.0000
Pd 0.5000 0.5000 0.0000

Decreasing stability: #A, #B

#A
The following is a PBE calculation of a relaxed In2GePd5 crystal, from Alexandria via LeMat-Bulk.

Unit cell a=7.9914 b=7.9914 c=13.4564 alpha=90.00 beta=90.00 gamma=158.80
Sites, in units of the cell vectors:
In 0.1230 0.8770 0.5875
In 0.1230 0.8770 0.9125
In 0.8770 0.1230 0.0875
In 0.8770 0.1230 0.4125
Ge 0.1347 0.8653 0.2500
Ge 0.8653 0.1347 0.7500
Pd 0.0453 0.9547 0.0973
Pd 0.0453 0.9547 0.4027
Pd 0.2235 0.7765 0.0842
Pd 0.2235 0.7765 0.4158
Pd 0.2284 0.7716 0.7500
Pd 0.7716 0.2284 0.2500
Pd 0.7765 0.2235 0.5842
Pd 0.7765 0.2235 0.9158
Pd 0.9547 0.0453 0.5973
Pd 0.9547 0.0453 0.9027

#B
The following is a PBE calculation of a relaxed In2GePd5 crystal, from Alexandria via LeMat-Bulk.

Unit cell a=5.6455 b=11.0056 c=4.2822 alpha=90.00 beta=90.00 gamma=90.00
Sites, in units of the cell vectors:
In 0.1503 0.1507 0.0000
In 0.3497 0.6507 0.0000
In 0.6503 0.3493 0.0000
In 0.8497 0.8493 0.0000
Ge 0.0000 0.5000 0.5000
Ge 0.5000 0.0000 0.5000
Pd 0.0000 0.0000 0.5000
Pd 0.0752 0.7271 0.5000
Pd 0.1777 0.4061 0.0000
Pd 0.3223 0.9061 0.0000
Pd 0.4248 0.2271 0.5000
Pd 0.5000 0.5000 0.5000
Pd 0.5752 0.7729 0.5000
Pd 0.6777 0.0939 0.0000
Pd 0.8223 0.5939 0.0000
Pd 0.9248 0.2729 0.5000

Decreasing stability: #B, #A

#A
The following is a PBE calculation of a relaxed PmInGe crystal, from Alexandria via LeMat-Bulk.

Unit cell a=6.9070 b=6.9070 c=6.9070 alpha=90.00 beta=90.00 gamma=90.00
Sites, in units of the cell vectors:
Pm 0.0000 0.0000 0.0000
Pm 0.0000 0.5000 0.5000
Pm 0.5000 0.0000 0.5000
Pm 0.5000 0.5000 0.0000
In 0.0000 0.0000 0.5000
In 0.0000 0.5000 0.0000
In 0.5000 0.0000 0.0000
In 0.5000 0.5000 0.5000
Ge 0.2500 0.2500 0.2500
Ge 0.2500 0.7500 0.7500
Ge 0.7500 0.2500 0.7500
Ge 0.7500 0.7500 0.2500

#B
The following is a PBE calculation of a relaxed PmInGe crystal, from Alexandria via LeMat-Bulk.

Unit cell a=4.4813 b=10.6798 c=6.1282 alpha=90.00 beta=90.00 gamma=90.00
Sites, in units of the cell vectors:
Pm 0.0000 0.1824 0.2500
Pm 0.0000 0.8176 0.7500
Pm 0.5000 0.3176 0.7500
Pm 0.5000 0.6824 0.2500
In 0.0000 0.5000 0.0000
In 0.0000 0.5000 0.5000
In 0.5000 0.0000 0.0000
In 0.5000 0.0000 0.5000
Ge 0.0000 0.1221 0.7500
Ge 0.0000 0.8779 0.2500
Ge 0.5000 0.3779 0.2500
Ge 0.5000 0.6221 0.7500

#C
The following is a PBE calculation of a relaxed PmInGe crystal, from Alexandria via LeMat-Bulk.

Unit cell a=4.2766 b=4.2766 c=8.2162 alpha=90.00 beta=90.00 gamma=90.00
Sites, in units of the cell vectors:
Pm 0.2500 0.2500 0.1698
Pm 0.7500 0.7500 0.8302
In 0.2500 0.7500 0.5000
In 0.7500 0.2500 0.5000
Ge 0.2500 0.2500 0.8034
Ge 0.7500 0.7500 0.1966

Decreasing stability: #B, #C, #A

#A
The following is a PBE calculation of a relaxed Pm6InGe2 crystal, from Alexandria via LeMat-Bulk.

Unit cell a=8.2739 b=8.2739 c=4.3714 alpha=90.00 beta=90.00 gamma=120.00
Sites, in units of the cell vectors:
Pm 0.0000 0.4091 0.0000
Pm 0.0000 0.7180 0.5000
Pm 0.2820 0.2820 0.5000
Pm 0.4091 0.0000 0.0000
Pm 0.5909 0.5909 0.0000
Pm 0.7180 0.0000 0.5000
In 0.0000 0.0000 0.0000
Ge 0.3333 0.6667 0.5000
Ge 0.6667 0.3333 0.5000

#B
The following is a PBE calculation of a relaxed Pm6InGe2 crystal, from Alexandria via LeMat-Bulk.

Unit cell a=8.8215 b=8.8215 c=8.8215 alpha=111.97 beta=110.05 gamma=106.45
Sites, in units of the cell vectors:
Pm 0.0443 0.2466 0.7977
Pm 0.1819 0.2750 0.4569
Pm 0.1819 0.7250 0.9068
Pm 0.3246 0.0301 0.7054
Pm 0.3246 0.6192 0.2946
Pm 0.4488 0.2466 0.2023
Pm 0.5512 0.7534 0.7977
Pm 0.6754 0.3808 0.7054
Pm 0.6754 0.9699 0.2946
Pm 0.8181 0.2750 0.0932
Pm 0.8181 0.7250 0.5431
Pm 0.9557 0.7534 0.2023
In 0.0000 0.0000 0.0000
In 0.5000 0.5000 0.0000
Ge 0.1194 0.6194 0.5000
Ge 0.3589 0.0000 0.3589
Ge 0.6411 0.0000 0.6411
Ge 0.8806 0.3806 0.5000

Decreasing stability: #B, #A